# ScBI2 | Alexandria via LeMat-Bulk | PBE | optimized geometry
data_ScBI2
_chemical_formula_sum 'Sc4 B4 I8'
_cell_length_a 7.769
_cell_length_b 7.769
_cell_length_c 7.079
_cell_angle_alpha 90.00
_cell_angle_beta 90.00
_cell_angle_gamma 90.00
_symmetry_space_group_name_H-M 'I -4 2 d'
_symmetry_Int_Tables_number 122
_symmetry_space_group_name_Hall 'I -4 2bw'
loop_
_atom_site_label
_atom_site_type_symbol
_atom_site_fract_x
_atom_site_fract_y
_atom_site_fract_z
Sc1 Sc 0.000 0.000 0.000
B1 B 0.000 0.000 0.500
I1 I 0.241 0.250 0.625
# Polymorph energy (0 for the lowest one) (kJ/mol of formula units): 17.7
# Energy relative to the elements, uncorrected (eV per atom): 0.66
# Mass density (kg/m3): 4812